# MnO PBE+U optimized geometry
data_MnO
_symmetry_space_group_name_H-M 'P 42/m n m'
_symmetry_Int_Tables_number 136
_symmetry_space_group_name_Hall '-P 4n 2n'
_cell_length_a 5.856
_cell_length_b 5.856
_cell_length_c 3.487
_cell_angle_alpha 90.00
_cell_angle_beta 90.00
_cell_angle_gamma 90.00
loop_
_atom_site_label
_atom_site_type_symbol
_atom_site_fract_x
_atom_site_fract_y
_atom_site_fract_z
Mn1 Mn 0.184 0.184 0.000
O1 O 0.181 0.819 0.000
# Mass density in Mg/m³: 3.94
# Crystal system: tetragonal
# E in eV per cell: -62.19